(1)
TmTlO3 after structural relaxation, computed with PBE.

Properties
calculated total energy	-6.433	eV per atom

a b c (Å): 5.8279 8.4723 5.7634
angles (deg): 90.00 90.00 90.00
Closest atoms and distances in Å follow each position.
Space group Pnma (No. 62)
Asymmetric unit:
Tm 0.0000 0.0000 0.0000 (multiplicity 4)  6 O 2.22-2.30
Tl 0.0439 0.2500 0.4899 (multiplicity 4)  4 O 2.20-2.36
O 0.0916 0.7500 0.1244 (multiplicity 4)  2 Tl 2.26-2.36, 2 Tm 2.30
O 0.1764 0.5705 0.6730 (multiplicity 8)  1 Tl 2.20, 2 Tm 2.22-2.23

=====

(2)
La6Pt3Cl after structural relaxation, computed with PBE.

Properties
calculated total energy	-5.967	eV per atom

a b c (Å): 12.3905 4.2266 12.5314
angles (deg): 90.00 109.55 90.00
Closest atoms and distances in Å follow each position.
Space group P2_1/m (No. 11)
Asymmetric unit:
La 0.0784 0.2500 0.3949 (multiplicity 2)  2 Pt 2.87
La 0.0954 0.7500 0.9453 (multiplicity 2)  3 Pt 2.93-2.99, 2 Cl 3.14
La 0.2890 0.7500 0.2633 (multiplicity 2)  3 Pt 2.90-3.11
La 0.2915 0.7500 0.7449 (multiplicity 2)  3 Pt 2.94-3.04, 2 Cl 3.14
La 0.3886 0.2500 0.0455 (multiplicity 2)  4 Pt 2.92-3.26
La 0.4077 0.2500 0.5607 (multiplicity 2)  3 Pt 2.90-3.09
Pt 0.1598 0.2500 0.1171 (multiplicity 2)  6 La 2.90-3.25
Pt 0.2388 0.7500 0.4900 (multiplicity 2)  6 La 2.87-3.11
Pt 0.4654 0.2500 0.8204 (multiplicity 2)  6 La 2.92-3.26
Cl 0.1119 0.2500 0.7658 (multiplicity 2)  6 La 3.14-3.30

=====

(3)
KMgUN3 after structural relaxation, computed with PBE.

Properties
calculated total energy	-7.360	eV per atom

a b c (Å): 6.9179 3.5912 9.3100
angles (deg): 90.00 91.56 90.00
Closest atoms and distances in Å follow each position.
Space group P2_1/m (No. 11)
Asymmetric unit:
K 0.0890 0.2500 0.2888 (multiplicity 2)  5 N 2.93-3.00
Mg 0.4059 0.2500 0.9126 (multiplicity 2)  4 N 2.10-2.13
U 0.4245 0.7500 0.6511 (multiplicity 2)  6 N 2.12-2.29
N 0.2547 0.2500 0.7104 (multiplicity 2)  1 Mg 2.13, 2 U 2.22
N 0.3946 0.7500 0.4192 (multiplicity 2)  3 U 2.16-2.29
N 0.4547 0.2500 0.1373 (multiplicity 2)  3 Mg 2.10-2.11, 1 U 2.12

=====

Number 1: E_form (uncorrected) -2.091 eV/atom. Number 2: E_form (uncorrected) -1.014 eV/atom. Number 3: E_form (uncorrected) -0.867 eV/atom.